Density functional theory data (PBE-GGA) for a relaxed Mg2Fe2Ge crystal.

- Calculated volume: 152 Å³/cell
- Mass density: 5.088 g/cm³
- ΔE_f: -0.006 eV per atom

a = 5.9687 Å, b = 5.9687 Å, c = 4.2678 Å
α = 90.00°, β = 90.00°, γ = 90.00°
Space group P4/mbm (No. 127)
Symmetry-distinct sites (fractional):
Mg (0.1693, 0.3307, 0.0000) [4 per cell]
Fe (0.1296, 0.6296, 0.5000) [4 per cell]
Ge (0.0000, 0.0000, 0.5000) [2 per cell]